A relaxed structure of KCo3Rh4O12. Source: Alexandria via LeMat-Bulk, functional PBE with a Hubbard U.

Unit cell a=6.4996 b=6.4996 c=6.4996 alpha=109.47 beta=109.47 gamma=109.47
Site moments in Bohr magnetons follow the coordinates.
Sites, in units of the cell vectors:
K  0.0000  0.0000  0.0000  0.01
Co  0.0000  0.5000  0.5000  1.94
Co  0.5000  0.5000  0.0000  1.94
Co  0.5000  0.0000  0.5000  1.94
Rh  0.5000  0.0000  0.0000  -0.21
Rh  0.5000  0.5000  0.5000  -0.21
Rh  0.0000  0.5000  0.0000  -0.21
Rh  0.0000  0.0000  0.5000  -0.21
O  0.3228  0.8248  0.1476  -0.03
O  0.6772  0.1752  0.8524  -0.03
O  0.6772  0.8248  0.5019  -0.03
O  0.8524  0.6772  0.1752  -0.03
O  0.8248  0.1476  0.3228  -0.03
O  0.1752  0.4981  0.3228  -0.03
O  0.4981  0.3228  0.1752  -0.03
O  0.1752  0.8524  0.6772  -0.03
O  0.3228  0.1752  0.4981  -0.03
O  0.1476  0.3228  0.8248  -0.03
O  0.8248  0.5019  0.6772  -0.03
O  0.5019  0.6772  0.8248  -0.03

Properties
**Final energy**: -122.5 eV/cell